AcTb2Dy3 | PBE | optimized geometry

a b c (Å): 6.7602 6.7602 9.0611
angles (deg): 98.07 98.07 94.94
Fractional coordinates of all 12 atoms:
1 Ac 0.0789 0.9211 0.2500
2 Ac 0.9211 0.0789 0.7500
3 Tb 0.8699 0.3787 0.1264
4 Tb 0.6213 0.1301 0.3736
5 Tb 0.1301 0.6213 0.8736
6 Tb 0.3787 0.8699 0.6264
7 Dy 0.1748 0.3525 0.5054
8 Dy 0.6475 0.8252 0.9946
9 Dy 0.8252 0.6475 0.4946
10 Dy 0.3525 0.1748 0.0054
11 Dy 0.4206 0.5794 0.2500
12 Dy 0.5794 0.4206 0.7500

## Properties
The calculation puts the energy of formation from the pure elements at 102 meV/atom. As for the spin magnetization: 0.000 μB per atom. Its symmetry is C2/c, No. 15.